1.
Density functional theory data (PBE) for an optimized crystal structure of TbBe4B2.

```
7
Lattice="1.756 -5.574 0.000 1.756 5.574 0.000 0.000 0.000 3.513" Properties=species:S:1:pos:R:3 pbc="T T T"
Tb 0.000 0.000 0.000
Be 1.756 3.484 1.756
Be 1.756 2.067 0.000
Be 1.756 -2.067 0.000
Be 1.756 -3.484 1.756
B 1.756 1.017 1.756
B 1.756 -1.017 1.756
```

Its volume is 9.8 Å³/atom. As for the formation enthalpy at 0 K: -0.185 eV per atom. Its total DFT energy (no corrections) is -4.884 eV/atom. Its space-group type is Cmmm (65). The value obtained for the total moment is 0.00 Bohr magnetons per cell.

2.
Density functional theory data (PBE) for an optimized crystal structure of SiHgO.

```
6
Lattice="2.911 0.000 0.000 -1.313 6.391 0.000 -1.437 -1.548 6.288" Properties=species:S:1:pos:R:3 pbc="T T T"
Si 0.009 -0.251 2.011
Si 0.152 5.094 4.277
Hg 0.024 1.870 0.297
Hg 0.137 2.973 5.991
O -1.303 4.677 3.294
O 1.464 0.166 2.994
```

Its volume is 19.5 Å³/atom. Its total DFT energy (no corrections) is -4.383 eV/atom. Its space-group type is P-1 (2). The value obtained for the total moment is 0.00 Bohr magnetons per cell.

3.
Density functional theory data (PBE) for an optimized crystal structure of Ga2CuH.

```
4
Lattice="0.000 2.986 2.986 2.986 0.000 2.986 2.986 2.986 0.000" Properties=species:S:1:pos:R:3 pbc="T T T"
Ga 1.493 1.493 1.493
Ga 4.478 4.478 4.478
Cu 0.000 0.000 0.000
H 2.986 2.986 2.986
```

Its volume is 13.3 Å³/atom. Its total DFT energy (no corrections) is -3.030 eV/atom. Its space-group type is Fm-3m (225). The relative energy among the computed polymorphs comes out at 24.1 meV per atom. The value obtained for the total moment is 0.00 Bohr magnetons per cell.

4.
Density functional theory data (PBE) for an optimized crystal structure of U2PtSe4S.

```
8
Lattice="5.824 -1.937 0.000 5.824 1.937 0.000 -2.434 0.000 7.660" Properties=species:S:1:pos:R:3 pbc="T T T"
U 1.334 0.000 1.402
U 7.880 0.000 6.259
Pt -1.217 0.000 3.830
Se -0.035 0.000 6.286
Se 2.907 0.000 4.124
Se 6.306 0.000 3.536
Se 9.249 0.000 1.374
S 5.824 0.000 0.000
```

Its volume is 21.6 Å³/atom. Its total DFT energy (no corrections) is -6.758 eV/atom. Its space-group type is C2/m (12). The value obtained for the total moment is 4.18 Bohr magnetons per cell.